Record 1
A geometry-optimized Sr2InAg2 structure, computed with PBE.

```
data_Sr2InAg2
_symmetry_space_group_name_H-M 'I 4/m m m'
_symmetry_Int_Tables_number 139
_symmetry_space_group_name_Hall '-I 4 2'
_cell_length_a 6.227
_cell_length_b 6.227
_cell_length_c 8.240
_cell_angle_alpha 90.00
_cell_angle_beta 90.00
_cell_angle_gamma 90.00
loop_
_atom_site_label
_atom_site_type_symbol
_atom_site_fract_x
_atom_site_fract_y
_atom_site_fract_z
Sr1 Sr 0.000 0.500 0.250
In1 In 0.000 0.000 0.000
Ag1 Ag 0.000 0.000 0.340
```

Results
uncorrected energy	-25.6	eV per cell
E_form	-201	meV per atom

Record 2
A geometry-optimized Sr2In5Ag structure, computed with PBE.

```
data_Sr2In5Ag
_symmetry_space_group_name_H-M 'I 4 m m'
_symmetry_Int_Tables_number 107
_symmetry_space_group_name_Hall 'I 4 -2'
_cell_length_a 6.727
_cell_length_b 6.727
_cell_length_c 9.983
_cell_angle_alpha 90.00
_cell_angle_beta 90.00
_cell_angle_gamma 90.00
loop_
_atom_site_label
_atom_site_type_symbol
_atom_site_fract_x
_atom_site_fract_y
_atom_site_fract_z
Sr1 Sr 0.000 0.500 0.000
In1 In 0.000 0.000 0.027
In2 In 0.240 0.240 0.750
Ag1 Ag 0.000 0.000 0.439
```

Results
ΔE to the lowest computed polymorph	0.081	eV/atom
uncorrected energy	-43.8	eV per cell
E_form	-249	meV per atom

Record 3
A geometry-optimized SrIn2Ag2 structure, computed with PBE.

```
data_SrIn2Ag2
_symmetry_space_group_name_H-M 'P 4/m b m'
_symmetry_Int_Tables_number 127
_symmetry_space_group_name_Hall '-P 4 2ab'
_cell_length_a 8.523
_cell_length_b 8.523
_cell_length_c 3.411
_cell_angle_alpha 90.00
_cell_angle_beta 90.00
_cell_angle_gamma 90.00
loop_
_atom_site_label
_atom_site_type_symbol
_atom_site_fract_x
_atom_site_fract_y
_atom_site_fract_z
Sr1 Sr 0.000 0.000 0.000
In1 In 0.166 0.334 0.500
Ag1 Ag 0.125 0.625 0.000
```

Results
uncorrected energy	-27.0	eV per cell
E_form	-129	meV per atom

Record 4
A geometry-optimized Sr2InAg9 structure, computed with PBE.

```
data_Sr2InAg9
_symmetry_space_group_name_H-M 'R -3 m'
_symmetry_Int_Tables_number 166
_symmetry_space_group_name_Hall '-R 3 2"'
_cell_length_a 5.7787
_cell_length_b 5.7787
_cell_length_c 28.2407
_cell_angle_alpha 90.00
_cell_angle_beta 90.00
_cell_angle_gamma 120.00
loop_
_atom_site_label
_atom_site_type_symbol
_atom_site_fract_x
_atom_site_fract_y
_atom_site_fract_z
Sr1 Sr 0.0000 0.0000 0.1343
In1 In 0.0000 0.0000 0.0000
Ag1 Ag 0.0000 0.0000 0.3331
Ag2 Ag 0.0000 0.0000 0.5000
Ag3 Ag 0.0028 0.5014 0.9177
```

Results
uncorrected energy	-98.5	eV per cell
E_form	-89	meV per atom